# CdNi2As

Crystalline CdNi2As at its relaxed geometry (PBE, Alexandria via LeMat-Bulk).

Summary:
Calculated formation energy = 61 meV/atom
Energy above the most stable polymorph in this dataset = 0.46 eV per formula unit

```
data_CdNi2As
_cell_length_a 6.1402
_cell_length_b 6.1402
_cell_length_c 6.1402
_cell_angle_alpha 90.00
_cell_angle_beta 90.00
_cell_angle_gamma 90.00
_space_group_name_H-M_alt 'F m -3 m'
_space_group_IT_number 225
_space_group_name_Hall '-F 4 2 3'
loop_
_atom_site_label
_atom_site_type_symbol
_atom_site_fract_x
_atom_site_fract_y
_atom_site_fract_z
Cd1 Cd 0.0000 0.0000 0.0000
Ni1 Ni 0.2500 0.2500 0.2500
As1 As 0.0000 0.0000 0.5000
```

---

# TcNi3Se

Crystalline TcNi3Se at its relaxed geometry (PBE, Alexandria via LeMat-Bulk).

Summary:
Raw formation energy = 4.0 eV/f.u.
Energy above the most stable polymorph in this dataset = 0.00 eV per formula unit

```
data_TcNi3Se
_cell_length_a 4.3152
_cell_length_b 4.3152
_cell_length_c 4.3152
_cell_angle_alpha 90.00
_cell_angle_beta 90.00
_cell_angle_gamma 90.00
_space_group_name_H-M_alt 'P m -3 m'
_space_group_IT_number 221
_space_group_name_Hall '-P 4 2 3'
loop_
_atom_site_label
_atom_site_type_symbol
_atom_site_fract_x
_atom_site_fract_y
_atom_site_fract_z
Tc1 Tc 0.0000 0.0000 0.0000
Ni1 Ni 0.0000 0.5000 0.5000
Se1 Se 0.5000 0.5000 0.5000
```

---

# CdMoSe2

Crystalline CdMoSe2 at its relaxed geometry (PBE, Alexandria via LeMat-Bulk).

Summary:
Raw formation energy = 0.0 eV/f.u.
Energy above the most stable polymorph in this dataset = 1.17 eV per formula unit

```
data_CdMoSe2
_cell_length_a 3.0289
_cell_length_b 5.1306
_cell_length_c 12.0316
_cell_angle_alpha 90.00
_cell_angle_beta 90.00
_cell_angle_gamma 90.00
_space_group_name_H-M_alt 'I m m m'
_space_group_IT_number 71
_space_group_name_Hall '-I 2 2'
loop_
_atom_site_label
_atom_site_type_symbol
_atom_site_fract_x
_atom_site_fract_y
_atom_site_fract_z
Cd1 Cd 0.0000 0.0000 0.0000
Mo1 Mo 0.0000 0.0000 0.5000
Se1 Se 0.0000 0.5000 0.1679
```

---

# PmPuHg

Crystalline PmPuHg at its relaxed geometry (PBE, Alexandria via LeMat-Bulk).

Summary:
Calculated formation energy = -185 meV/atom
Energy above the most stable polymorph in this dataset = 0.00 eV per formula unit

```
data_PmPuHg
_cell_length_a 3.7866
_cell_length_b 16.9974
_cell_length_c 5.1245
_cell_angle_alpha 90.00
_cell_angle_beta 90.00
_cell_angle_gamma 90.00
_space_group_name_H-M_alt 'C m c m'
_space_group_IT_number 63
_space_group_name_Hall '-C 2c 2'
loop_
_atom_site_label
_atom_site_type_symbol
_atom_site_fract_x
_atom_site_fract_y
_atom_site_fract_z
Pm1 Pm 0.0000 0.0742 0.2500
Pu1 Pu 0.0000 0.2500 0.7500
Hg1 Hg 0.0000 0.4029 0.2500
```

---

# LaZnNiRh

Crystalline LaZnNiRh at its relaxed geometry (PBE, Alexandria via LeMat-Bulk).

Summary:
Calculated formation energy = -486 meV/atom

```
data_LaZnNiRh
_cell_length_a 4.3440
_cell_length_b 4.3440
_cell_length_c 14.3249
_cell_angle_alpha 90.00
_cell_angle_beta 90.00
_cell_angle_gamma 120.00
_space_group_name_H-M_alt 'R 3 m'
_space_group_IT_number 160
_space_group_name_Hall 'R 3 -2"'
loop_
_atom_site_label
_atom_site_type_symbol
_atom_site_fract_x
_atom_site_fract_y
_atom_site_fract_z
La1 La 0.0000 0.0000 0.0000
Zn1 Zn 0.0000 0.0000 0.5012
Ni1 Ni 0.0000 0.0000 0.1927
Rh1 Rh 0.0000 0.0000 0.7991
```

---

# LaSm2Cd6

Crystalline LaSm2Cd6 at its relaxed geometry (PBE, Alexandria via LeMat-Bulk).

Summary:
Calculated formation energy = -347 meV/atom

```
data_LaSm2Cd6
_cell_length_a 8.8064
_cell_length_b 8.8064
_cell_length_c 3.4647
_cell_angle_alpha 90.00
_cell_angle_beta 90.00
_cell_angle_gamma 120.00
_space_group_name_H-M_alt 'P 6/m m m'
_space_group_IT_number 191
_space_group_name_Hall '-P 6 2'
loop_
_atom_site_label
_atom_site_type_symbol
_atom_site_fract_x
_atom_site_fract_y
_atom_site_fract_z
La1 La 0.0000 0.0000 0.0000
Sm1 Sm 0.3333 0.6667 0.0000
Cd1 Cd 0.0000 0.3361 0.5000
```

---

# Er4GaFe

Crystalline Er4GaFe at its relaxed geometry (PBE, Alexandria via LeMat-Bulk).

Summary:
Calculated formation energy = -228 meV/atom

```
data_Er4GaFe
_cell_length_a 8.3490
_cell_length_b 12.3405
_cell_length_c 5.9731
_cell_angle_alpha 90.00
_cell_angle_beta 106.50
_cell_angle_gamma 90.00
_space_group_name_H-M_alt 'C 1 2/c 1'
_space_group_IT_number 15
loop_
_space_group_symop_operation_xyz
'x,y,z'
'-x,-y,-z'
'-x,y,-z+1/2'
'x,-y,z+1/2'
'x+1/2,y+1/2,z'
'-x+1/2,-y+1/2,-z'
'-x+1/2,y+1/2,-z+1/2'
'x+1/2,-y+1/2,z+1/2'
loop_
_atom_site_label
_atom_site_type_symbol
_atom_site_fract_x
_atom_site_fract_y
_atom_site_fract_z
Er1 Er 0.1064 0.1672 0.0416
Er2 Er 0.2125 0.4232 0.4034
Ga1 Ga 0.0000 0.3742 0.7500
Fe1 Fe 0.0000 0.0012 0.2500
```

---

# Ag12Cl5O3

Crystalline Ag12Cl5O3 at its relaxed geometry (PBE, Alexandria via LeMat-Bulk).

Summary:
Raw formation energy = -1.4 eV/f.u.

```
data_Ag12Cl5O3
_cell_length_a 15.0325
_cell_length_b 15.0325
_cell_length_c 15.0325
_cell_angle_alpha 90.00
_cell_angle_beta 90.00
_cell_angle_gamma 90.00
_space_group_name_H-M_alt 'I a -3 d'
_space_group_IT_number 230
_space_group_name_Hall '-I 4bd 2c 3'
loop_
_atom_site_label
_atom_site_type_symbol
_atom_site_fract_x
_atom_site_fract_y
_atom_site_fract_z
Ag1 Ag 0.0202 0.1003 0.6479
Cl1 Cl 0.0000 0.0000 0.0000
Cl2 Cl 0.0000 0.2500 0.3750
O1 O 0.0000 0.2500 0.1250
```

---

# PrDyIn6

Crystalline PrDyIn6 at its relaxed geometry (PBE, Alexandria via LeMat-Bulk).

Summary:
Calculated formation energy = -394 meV/atom
Energy above the most stable polymorph in this dataset = 0.40 eV per formula unit

```
data_PrDyIn6
_cell_length_a 5.3259
_cell_length_b 6.7159
_cell_length_c 11.6330
_cell_angle_alpha 90.00
_cell_angle_beta 90.00
_cell_angle_gamma 90.00
_space_group_name_H-M_alt 'A m m 2'
_space_group_IT_number 38
loop_
_space_group_symop_operation_xyz
'x,y,z'
'-x,-y,z'
'-x,y,z'
'x,-y,z'
'x,y+1/2,z+1/2'
'-x,-y+1/2,z+1/2'
'-x,y+1/2,z+1/2'
'x,-y+1/2,z+1/2'
loop_
_atom_site_label
_atom_site_type_symbol
_atom_site_fract_x
_atom_site_fract_y
_atom_site_fract_z
Pr1 Pr 0.0000 0.0000 0.0000
Dy1 Dy 0.5000 0.0000 0.3317
In1 In 0.0000 0.0000 0.5015
In2 In 0.0000 0.2424 0.7466
In3 In 0.5000 0.0000 0.8249
In4 In 0.5000 0.2347 0.5877
```

---

# Fe2OsSe

Crystalline Fe2OsSe at its relaxed geometry (PBE, Alexandria via LeMat-Bulk).

Summary:
Raw formation energy = 1.6 eV/f.u.

```
data_Fe2OsSe
_cell_length_a 2.8522
_cell_length_b 2.8522
_cell_length_c 23.7743
_cell_angle_alpha 90.00
_cell_angle_beta 90.00
_cell_angle_gamma 120.00
_space_group_name_H-M_alt 'R 3 m'
_space_group_IT_number 160
_space_group_name_Hall 'R 3 -2"'
loop_
_atom_site_label
_atom_site_type_symbol
_atom_site_fract_x
_atom_site_fract_y
_atom_site_fract_z
Fe1 Fe 0.0000 0.0000 0.0000
Fe2 Fe 0.0000 0.0000 0.2549
Os1 Os 0.0000 0.0000 0.5059
Se1 Se 0.0000 0.0000 0.7445
```

---

# Ac3Zn6Au5

Crystalline Ac3Zn6Au5 at its relaxed geometry (PBE, Alexandria via LeMat-Bulk).

Summary:
Calculated formation energy = -546 meV/atom

```
data_Ac3Zn6Au5
_cell_length_a 4.4979
_cell_length_b 13.2404
_cell_length_c 10.5193
_cell_angle_alpha 90.00
_cell_angle_beta 90.00
_cell_angle_gamma 90.00
_space_group_name_H-M_alt 'P m m n'
_space_group_IT_number 59
loop_
_space_group_symop_operation_xyz
'x,y,z'
'-x,-y,-z'
'-x+1/2,-y+1/2,z'
'x+1/2,y+1/2,-z'
'x+1/2,-y,-z'
'-x+1/2,y,z'
'-x,y+1/2,-z'
'x,-y+1/2,z'
loop_
_atom_site_label
_atom_site_type_symbol
_atom_site_fract_x
_atom_site_fract_y
_atom_site_fract_z
Ac1 Ac 0.2500 0.0815 0.2482
Ac2 Ac 0.2500 0.7500 0.2461
Zn1 Zn 0.2500 0.0639 0.9113
Zn2 Zn 0.2500 0.2500 0.0039
Zn3 Zn 0.2500 0.2500 0.4986
Zn4 Zn 0.2500 0.5829 0.5002
Au1 Au 0.2500 0.0844 0.6495
Au2 Au 0.2500 0.6349 0.9697
Au3 Au 0.2500 0.7500 0.6470
```

---

# AgSn4S5

Crystalline AgSn4S5 at its relaxed geometry (PBE, Alexandria via LeMat-Bulk).

Summary:
Raw formation energy = -3.4 eV/f.u.

```
data_AgSn4S5
_cell_length_a 9.0670
_cell_length_b 9.0670
_cell_length_c 5.6621
_cell_angle_alpha 90.00
_cell_angle_beta 90.00
_cell_angle_gamma 90.00
_space_group_name_H-M_alt 'I 4'
_space_group_IT_number 79
loop_
_space_group_symop_operation_xyz
'x,y,z'
'-y,x,z'
'-x,-y,z'
'y,-x,z'
'x+1/2,y+1/2,z+1/2'
'-y+1/2,x+1/2,z+1/2'
'-x+1/2,-y+1/2,z+1/2'
'y+1/2,-x+1/2,z+1/2'
loop_
_atom_site_label
_atom_site_type_symbol
_atom_site_fract_x
_atom_site_fract_y
_atom_site_fract_z
Ag1 Ag 0.0000 0.0000 0.0000
Sn1 Sn 0.0958 0.2969 0.5028
S1 S 0.0000 0.0000 0.5027
S2 S 0.0965 0.3016 0.0038
```

---

Number 1: total DFT energy (no corrections) -4.221 eV per atom. Number 2: total DFT energy (no corrections) -5.443 eV per atom. Number 3: total DFT energy (no corrections) -4.686 eV per atom. Number 4: total DFT energy (no corrections) -6.646 eV per atom. Number 5: total DFT energy (no corrections) -5.319 eV per atom. Number 6: total DFT energy (no corrections) -2.553 eV per atom. Number 7: total DFT energy (no corrections) -5.185 eV per atom. Number 8: total DFT energy (no corrections) -2.987 eV per atom. Number 9: total DFT energy (no corrections) -3.620 eV per atom. Number 10: total DFT energy (no corrections) -7.504 eV per atom. Number 11: total DFT energy (no corrections) -3.142 eV per atom. Number 12: total DFT energy (no corrections) -4.285 eV per atom.